## Cs4La3PaTe8 (GGA-PBE)

Data for a relaxed structure of Cs4La3PaTe8. Values from VASP.

Geometry as Quantum ESPRESSO input:
```
&SYSTEM
  ibrav = 0, nat = 16, ntyp = 4
/
ATOMIC_SPECIES
Cs 132.91 Cs.upf
La 138.91 La.upf
Pa 231.04 Pa.upf
Te 127.60 Te.upf
CELL_PARAMETERS angstrom
4.718 2.724 8.951
-4.718 2.724 8.951
0.000 -5.448 8.951
ATOMIC_POSITIONS crystal
Cs 0.000 0.000 0.000
Cs 0.000 0.500 0.500
Cs 0.500 0.000 0.500
Cs 0.500 0.500 0.000
La 0.000 0.000 0.500
La 0.000 0.500 0.000
La 0.500 0.000 0.000
Pa 0.500 0.500 0.500
Te 0.233 0.233 0.233
Te 0.241 0.727 0.727
Te 0.273 0.273 0.759
Te 0.273 0.759 0.273
Te 0.727 0.241 0.727
Te 0.727 0.727 0.241
Te 0.759 0.273 0.273
Te 0.767 0.767 0.767
```

As for the density of states at the Fermi level: 9.76 states/eV/f.u. As for the formation energy without anion corrections: -1.3386 eV/atom.